Entry 1:
A relaxed structure of BaSrSi2. Source: the Alexandria database, functional GGA-PBE.

Results
- SG: Fm-3m, No. 225
- Crystal system: cubic
- Energy above the most stable polymorph in this dataset: 1.56 eV/f.u.
- Formation energy from raw total energies: -0.049 eV per atom

Cell: 7.826 7.826 7.826 Å, 90.00 90.00 90.00°
Atoms (fractional coordinates):
Ba (0.000, 0.000, 0.000)
Ba (0.000, 0.500, 0.500)
Ba (0.500, 0.000, 0.500)
Ba (0.500, 0.500, 0.000)
Sr (0.000, 0.000, 0.500)
Sr (0.000, 0.500, 0.000)
Sr (0.500, 0.000, 0.000)
Sr (0.500, 0.500, 0.500)
Si (0.250, 0.250, 0.250)
Si (0.250, 0.250, 0.750)
Si (0.250, 0.750, 0.250)
Si (0.250, 0.750, 0.750)
Si (0.750, 0.250, 0.250)
Si (0.750, 0.250, 0.750)
Si (0.750, 0.750, 0.250)
Si (0.750, 0.750, 0.750)

Entry 2:
A relaxed structure of MnAl2W. Source: the Alexandria database, functional GGA-PBE.

Results
- SG: Fm-3m, No. 225
- Crystal system: cubic
- Energy above the most stable polymorph in this dataset: 0.99 eV/f.u.

Cell: 6.161 6.161 6.161 Å, 90.00 90.00 90.00°
Atoms (fractional coordinates):
Mn (0.000, 0.000, 0.000)
Mn (0.000, 0.500, 0.500)
Mn (0.500, 0.000, 0.500)
Mn (0.500, 0.500, 0.000)
Al (0.250, 0.250, 0.250)
Al (0.250, 0.250, 0.750)
Al (0.250, 0.750, 0.250)
Al (0.250, 0.750, 0.750)
Al (0.750, 0.250, 0.250)
Al (0.750, 0.250, 0.750)
Al (0.750, 0.750, 0.250)
Al (0.750, 0.750, 0.750)
W (0.000, 0.000, 0.500)
W (0.000, 0.500, 0.000)
W (0.500, 0.000, 0.000)
W (0.500, 0.500, 0.500)

Entry 3:
A relaxed structure of Na2Tl3Pb. Source: the Alexandria database, functional GGA-PBE.

Results
- SG: P6/mmm, No. 191
- Crystal system: hexagonal
- Energy above the most stable polymorph in this dataset: 0.41 eV/f.u.

Cell: 6.667 6.667 10.531 Å, 90.00 90.00 120.00°
Atoms (fractional coordinates):
Na (0.000, 0.000, 0.000)
Na (0.000, 0.000, 0.500)
Na (0.333, 0.667, 0.000)
Na (0.667, 0.333, 0.000)
Tl (0.000, 0.500, 0.245)
Tl (0.000, 0.500, 0.755)
Tl (0.500, 0.000, 0.245)
Tl (0.500, 0.000, 0.755)
Tl (0.500, 0.500, 0.245)
Tl (0.500, 0.500, 0.755)
Pb (0.333, 0.667, 0.500)
Pb (0.667, 0.333, 0.500)

Entry 4:
A relaxed structure of La4PrIn2. Source: the Alexandria database, functional GGA-PBE.

Results
- SG: P2_1/c, No. 14
- Crystal system: monoclinic
- Energy above the most stable polymorph in this dataset: 0.00 eV/f.u.

Cell: 6.425 9.700 7.952 Å, 90.00 110.62 90.00°
Atoms (fractional coordinates):
La (0.101, 0.168, 0.394)
La (0.101, 0.332, 0.894)
La (0.367, 0.698, 0.952)
La (0.367, 0.802, 0.452)
La (0.633, 0.198, 0.548)
La (0.633, 0.302, 0.048)
La (0.899, 0.668, 0.106)
La (0.899, 0.832, 0.606)
Pr (0.000, 0.000, 0.000)
Pr (0.000, 0.500, 0.500)
In (0.386, 0.023, 0.795)
In (0.386, 0.477, 0.295)
In (0.614, 0.523, 0.705)
In (0.614, 0.977, 0.205)

Entry 5:
A relaxed structure of LiAcCdNi. Source: the Alexandria database, functional GGA-PBE.

Results
- SG: F-43m, No. 216
- Crystal system: cubic
- Total energy: -3.2530 eV per atom

Cell: 7.067 7.067 7.067 Å, 90.00 90.00 90.00°
Atoms (fractional coordinates):
Li (0.000, 0.000, 0.000)
Li (0.000, 0.500, 0.500)
Li (0.500, 0.000, 0.500)
Li (0.500, 0.500, 0.000)
Ac (0.250, 0.250, 0.250)
Ac (0.250, 0.750, 0.750)
Ac (0.750, 0.250, 0.750)
Ac (0.750, 0.750, 0.250)
Cd (0.250, 0.250, 0.750)
Cd (0.250, 0.750, 0.250)
Cd (0.750, 0.250, 0.250)
Cd (0.750, 0.750, 0.750)
Ni (0.000, 0.000, 0.500)
Ni (0.000, 0.500, 0.000)
Ni (0.500, 0.000, 0.000)
Ni (0.500, 0.500, 0.500)

Entry 6:
A relaxed structure of ZrCdFe2. Source: the Alexandria database, functional GGA-PBE.

Results
- SG: F-43m, No. 216
- Crystal system: cubic
- Total energy: -6.3579 eV per atom

Cell: 6.432 6.432 6.432 Å, 90.00 90.00 90.00°
Atoms (fractional coordinates):
Zr (0.000, 0.000, 0.000)
Zr (0.000, 0.500, 0.500)
Zr (0.500, 0.000, 0.500)
Zr (0.500, 0.500, 0.000)
Cd (0.250, 0.250, 0.750)
Cd (0.250, 0.750, 0.250)
Cd (0.750, 0.250, 0.250)
Cd (0.750, 0.750, 0.750)
Fe (0.000, 0.000, 0.500)
Fe (0.000, 0.500, 0.000)
Fe (0.250, 0.250, 0.250)
Fe (0.250, 0.750, 0.750)
Fe (0.500, 0.000, 0.000)
Fe (0.500, 0.500, 0.500)
Fe (0.750, 0.250, 0.750)
Fe (0.750, 0.750, 0.250)

Entry 7:
A relaxed structure of Cd2Rh. Source: the Alexandria database, functional GGA-PBE.

Results
- SG: Cm, No. 8
- Crystal system: monoclinic
- Total energy: -3.0828 eV per atom

Cell: 10.664 3.062 6.926 Å, 90.00 105.26 90.00°
Atoms (fractional coordinates):
Cd (0.000, 0.000, 0.000)
Cd (0.045, 0.000, 0.587)
Cd (0.179, 0.500, 0.311)
Cd (0.325, 0.000, 0.669)
Cd (0.500, 0.500, 0.000)
Cd (0.545, 0.500, 0.587)
Cd (0.679, 0.000, 0.311)
Cd (0.825, 0.500, 0.669)
Rh (0.219, 0.500, 0.931)
Rh (0.389, 0.000, 0.257)
Rh (0.719, 0.000, 0.931)
Rh (0.889, 0.500, 0.257)

Entry 8:
A relaxed structure of NpCuSbH. Source: the Alexandria database, functional GGA-PBE.

Results
- SG: P4/nmm, No. 129
- Crystal system: tetragonal
- Total energy: -6.3797 eV per atom

Cell: 4.171 4.171 7.642 Å, 90.00 90.00 90.00°
Atoms (fractional coordinates):
Np (0.250, 0.250, 0.131)
Np (0.750, 0.750, 0.869)
Cu (0.250, 0.750, 0.500)
Cu (0.750, 0.250, 0.500)
Sb (0.250, 0.250, 0.710)
Sb (0.750, 0.750, 0.290)
H (0.250, 0.750, 0.000)
H (0.750, 0.250, 0.000)